## AcPm2TeO8 (GGA-PBE)

Data for a relaxed AcPm2TeO8 crystal.

- SG = Cmmm, No. 65
- density of states at the Fermi level (states/eV/cell) = 4.93
- E_form (uncorrected) (eV per atom) = -2.43
- total magnetic moment (μB per atom) = 0.074

a = 5.1521 Å, b = 5.1521 Å, c = 7.3379 Å
α = 90.00°, β = 90.00°, γ = 90.39°
Atoms (fractional coordinates):
Ac 0.0000 0.0000 0.0000
Pm 0.5000 0.5000 0.2646
Pm 0.5000 0.5000 0.7354
Te 0.0000 0.0000 0.5000
O 0.1817 0.8183 0.3032
O 0.1817 0.8183 0.6968
O 0.2698 0.2698 0.5000
O 0.3232 0.3232 0.0000
O 0.6768 0.6768 0.0000
O 0.7302 0.7302 0.5000
O 0.8183 0.1817 0.3032
O 0.8183 0.1817 0.6968

## Dy5Pd2Rh (GGA-PBE)

Data for a relaxed Dy5Pd2Rh crystal.

- DFT formation energy (kJ per mole of atoms) = -64
- SG = I4/mcm, No. 140
- density of states at the Fermi level (states/eV/cell) = 14.00
- total magnetic moment (μB per atom) = 0.000

a = 9.0070 Å, b = 9.0070 Å, c = 9.0070 Å
α = 132.70°, β = 132.70°, γ = 69.13°
Atoms (fractional coordinates):
Dy 0.0000 0.0000 0.0000
Dy 0.0210 0.5210 0.8413
Dy 0.1797 0.0210 0.5000
Dy 0.3203 0.8203 0.8413
Dy 0.4790 0.3203 0.5000
Dy 0.5000 0.5000 0.0000
Dy 0.5210 0.6797 0.5000
Dy 0.6797 0.1797 0.1587
Dy 0.8203 0.9790 0.5000
Dy 0.9790 0.4790 0.1587
Pd 0.1335 0.3665 0.5000
Pd 0.3665 0.8665 0.2330
Pd 0.6335 0.1335 0.7670
Pd 0.8665 0.6335 0.5000
Rh 0.2500 0.2500 0.0000
Rh 0.7500 0.7500 0.0000

## ScPd2Cl2 (GGA-PBE)

Data for a relaxed ScPd2Cl2 crystal.

- SG = I4/mmm, No. 139
- energy above the most stable polymorph in this dataset (kJ/mol of formula units) = 94
- density of states at the Fermi level (states/eV/cell) = 5.82
- E_form (uncorrected) (eV per atom) = -0.41
- total magnetic moment (μB per atom) = 0.074

a = 10.5289 Å, b = 10.5289 Å, c = 10.5289 Å
α = 161.08°, β = 161.08°, γ = 26.87°
Atoms (fractional coordinates):
Sc 0.0000 0.0000 0.0000
Pd 0.2500 0.7500 0.5000
Pd 0.7500 0.2500 0.5000
Cl 0.4272 0.4272 0.0000
Cl 0.5728 0.5728 0.0000

## SrB2Cl (GGA-PBE)

Data for a relaxed SrB2Cl crystal.

- SG = Fm-3m, No. 225
- energy above the most stable polymorph in this dataset (kJ/mol of formula units) = 79
- density of states at the Fermi level (states/eV/cell) = 3.40
- E_form (uncorrected) (eV per atom) = 1.40
- total magnetic moment (μB per atom) = 0.000

a = 4.7693 Å, b = 4.7693 Å, c = 4.7693 Å
α = 60.00°, β = 60.00°, γ = 60.00°
Atoms (fractional coordinates):
Sr 0.0000 0.0000 0.0000
B 0.2500 0.2500 0.2500
B 0.7500 0.7500 0.7500
Cl 0.5000 0.5000 0.5000

## Sm2Dy8Ho (GGA-PBE)

Data for a relaxed Sm2Dy8Ho crystal.

- DFT formation energy (kJ per mole of atoms) = 16
- SG = C2/m, No. 12
- energy above the most stable polymorph in this dataset (kJ/mol of formula units) = 155
- density of states at the Fermi level (states/eV/cell) = 16.37
- total magnetic moment (μB per atom) = 0.000

a = 8.8911 Å, b = 8.8911 Å, c = 6.6500 Å
α = 99.67°, β = 99.67°, γ = 43.89°
Atoms (fractional coordinates):
Sm 0.1995 0.1995 0.2983
Sm 0.8005 0.8005 0.7017
Dy 0.1745 0.6495 0.0952
Dy 0.2437 0.2437 0.8074
Dy 0.3505 0.8255 0.9048
Dy 0.4115 0.4115 0.5934
Dy 0.5885 0.5885 0.4066
Dy 0.6495 0.1745 0.0952
Dy 0.7563 0.7563 0.1926
Dy 0.8255 0.3505 0.9048
Ho 0.0000 0.0000 0.5000

## Tb3TlGa (GGA-PBE)

Data for a relaxed Tb3TlGa crystal.

- DFT formation energy (kJ per mole of atoms) = -36
- SG = Cmcm, No. 63
- density of states at the Fermi level (states/eV/cell) = 6.92
- total magnetic moment (μB per atom) = 0.000

a = 9.2238 Å, b = 9.2238 Å, c = 6.6452 Å
α = 90.00°, β = 90.00°, γ = 151.24°
Atoms (fractional coordinates):
Tb 0.1006 0.8994 0.5091
Tb 0.1006 0.8994 0.9909
Tb 0.2800 0.7200 0.7500
Tb 0.7200 0.2800 0.2500
Tb 0.8994 0.1006 0.0091
Tb 0.8994 0.1006 0.4909
Tl 0.4883 0.5117 0.7500
Tl 0.5117 0.4883 0.2500
Ga 0.3216 0.6784 0.2500
Ga 0.6784 0.3216 0.7500

## V2BP (GGA-PBE)

Data for a relaxed V2BP crystal.

- DFT formation energy (kJ per mole of atoms) = -46
- SG = R-3m, No. 166
- energy above the most stable polymorph in this dataset (kJ/mol of formula units) = 59
- density of states at the Fermi level (states/eV/cell) = 2.09
- total magnetic moment (μB per atom) = 0.000

a = 5.7833 Å, b = 5.7833 Å, c = 5.7833 Å
α = 31.57°, β = 31.57°, γ = 31.57°
Atoms (fractional coordinates):
V 0.2358 0.2358 0.2358
V 0.7642 0.7642 0.7642
B 0.5000 0.5000 0.5000
P 0.0000 0.0000 0.0000